VASP calculation (PBE-GGA) on crystalline CaPm4Rh2 at its relaxed geometry.

Computed properties:
V in A^3/atom: 29.5
ΔE to the lowest computed polymorph in kcal/mol of atoms: 0.000
Space group: P2_1/m, No. 11
ΔH_f (0 K) in eV/atom: -0.39

a = 6.7532 Å, b = 9.0815 Å, c = 7.3546 Å
α = 113.53°, β = 90.00°, γ = 90.00°
Sites, in units of the cell vectors:
Pm1 0.9979 0.5642 0.2827
Pm2 0.2500 0.2092 0.2458
Pm3 0.7500 0.0026 0.3350
Pm4 0.2500 0.9974 0.6650
Pm5 0.7500 0.7908 0.7542
Pm6 0.5021 0.5642 0.2827
Pm7 0.4979 0.4358 0.7173
Pm8 0.0021 0.4358 0.7173
Rh1 0.7500 0.6669 0.0337
Rh2 0.2500 0.6626 0.6187
Rh3 0.7500 0.3374 0.3813
Rh4 0.2500 0.3331 0.9663
Ca1 0.7500 0.2056 0.9601
Ca2 0.2500 0.7944 0.0399

VASP calculation (PBE-GGA) on crystalline NbAgPCl2 at its relaxed geometry.

Computed properties:
V in A^3/atom: 23.5
ΔE_f (raw) in kJ/mol of formula units: 399
ΔE to the lowest computed polymorph in kcal/mol of atoms: 21.955
Space group: P4/mmm, No. 123

a = 4.8007 Å, b = 4.8007 Å, c = 5.1079 Å
α = 90.00°, β = 90.00°, γ = 90.00°
Last column: magnetic moment on the atom in μB.
Sites, in units of the cell vectors:
Cl1 0.0000 0.5000 0.0000  -0.06
Cl2 0.5000 0.0000 0.0000  -0.06
Ag1 0.0000 0.0000 0.0000  -0.07
Nb1 0.5000 0.5000 0.5000  2.44
P1 0.0000 0.0000 0.5000  -0.35

VASP calculation (PBE-GGA) on crystalline Tl2Pd2Pb at its relaxed geometry.

Computed properties:
V in A^3/atom: 23.9
Space group: I4/mmm, No. 139
ΔH_f (0 K) in eV/atom: 0.03

a = 4.2841 Å, b = 4.2841 Å, c = 7.1783 Å
α = 72.64°, β = 72.64°, γ = 90.00°
Sites, in units of the cell vectors:
Tl1 0.7500 0.2500 0.5000
Tl2 0.2500 0.7500 0.5000
Pd1 0.3967 0.3967 0.2065
Pd2 0.6033 0.6033 0.7935
Pb1 0.0000 0.0000 0.0000

VASP calculation (PBE-GGA) on crystalline PmSm3Y at its relaxed geometry.

Computed properties:
V in A^3/atom: 34.0
ΔE to the lowest computed polymorph in kcal/mol of atoms: 0.210
Space group: P-1, No. 2
ΔH_f (0 K) in eV/atom: 0.02

a = 6.3555 Å, b = 6.8887 Å, c = 9.3742 Å
α = 108.57°, β = 90.04°, γ = 117.45°
Sites, in units of the cell vectors:
Sm1 0.9686 0.1006 0.8508
Sm2 0.8344 0.4993 0.7518
Sm3 0.1656 0.5007 0.2482
Sm4 0.2364 0.2992 0.5496
Sm5 0.0314 0.8994 0.1492
Sm6 0.7636 0.7008 0.4504
Y1 0.4349 0.7009 0.9500
Y2 0.5651 0.2991 0.0500
Pm1 0.3641 0.8987 0.6499
Pm2 0.6359 0.1013 0.3501

VASP calculation (PBE-GGA) on crystalline Li2CaGaRh at its relaxed geometry.

Computed properties:
V in A^3/atom: 21.1
Space group: P4/mmm, No. 123
ΔH_f (0 K) in eV/atom: -0.23

a = 4.7036 Å, b = 4.7036 Å, c = 4.7762 Å
α = 90.00°, β = 90.00°, γ = 90.00°
Sites, in units of the cell vectors:
Li1 0.0000 0.5000 0.0000
Li2 0.5000 0.0000 0.0000
Rh1 0.0000 0.0000 0.0000
Ca1 0.5000 0.5000 0.5000
Ga1 0.0000 0.0000 0.5000

VASP calculation (PBE-GGA) on crystalline CaPt3 at its relaxed geometry.

Computed properties:
V in A^3/atom: 17.5
Space group: P4/mmm, No. 123
ΔH_f (0 K) in eV/atom: -0.31

a = 2.8963 Å, b = 2.8963 Å, c = 8.3371 Å
α = 90.00°, β = 90.00°, γ = 90.00°
Sites, in units of the cell vectors:
Pt1 0.5000 0.5000 0.7358
Pt2 0.5000 0.5000 0.2642
Pt3 0.0000 0.0000 0.5000
Ca1 0.0000 0.0000 0.0000

VASP calculation (PBE-GGA) on crystalline LiCaP2Os at its relaxed geometry.

Computed properties:
V in A^3/atom: 19.5
Space group: P4/mmm, No. 123
ΔH_f (0 K) in eV/atom: -0.18

a = 4.6105 Å, b = 4.5938 Å, c = 4.6105 Å
α = 90.00°, β = 90.00°, γ = 90.00°
Sites, in units of the cell vectors:
Li1 0.0000 0.5000 0.0000
P1 0.5000 0.0000 0.0000
P2 0.0000 0.0000 0.5000
Ca1 0.5000 0.5000 0.5000
Os1 0.0000 0.0000 0.0000

VASP calculation (PBE-GGA) on crystalline TeP2Cl at its relaxed geometry.

Computed properties:
V in A^3/atom: 20.7
ΔE_f (raw) in kJ/mol of formula units: 260
ΔE to the lowest computed polymorph in kcal/mol of atoms: 17.780
Space group: Immm, No. 71

a = 5.8338 Å, b = 5.8338 Å, c = 5.8338 Å
α = 145.03°, β = 132.66°, γ = 60.19°
Sites, in units of the cell vectors:
P1 0.5356 0.5356 0.0000
P2 0.9644 0.9644 0.0000
Cl1 0.2500 0.7500 0.5000
Te1 0.7500 0.2500 0.5000

VASP calculation (PBE-GGA) on crystalline KAg2HF4 at its relaxed geometry.

Computed properties:
V in A^3/atom: 16.2
Space group: Fmm2, No. 42
Total DFT energy (no corrections) in eV per atom: -3.772

a = 4.7990 Å, b = 4.7990 Å, c = 6.4875 Å
α = 107.52°, β = 107.52°, γ = 100.71°
Sites, in units of the cell vectors:
F1 0.7134 0.7134 0.5500
F2 0.4458 0.1351 0.0000
F3 0.1351 0.4458 0.0000
F4 0.1634 0.1634 0.4500
K1 0.8649 0.8649 0.0000
Ag1 0.1871 0.6871 0.5000
Ag2 0.6871 0.1871 0.5000
H1 0.3005 0.3005 0.0000

VASP calculation (PBE-GGA) on crystalline Pm2AgRh at its relaxed geometry.

Computed properties:
V in A^3/atom: 23.7
ΔE to the lowest computed polymorph in kcal/mol of atoms: 0.604
Space group: Fm-3m, No. 225
ΔH_f (0 K) in eV/atom: -0.47

a = 5.1153 Å, b = 5.1153 Å, c = 5.1153 Å
α = 60.00°, β = 60.00°, γ = 60.00°
Sites, in units of the cell vectors:
Rh1 0.0000 0.0000 0.0000
Ag1 0.5000 0.5000 0.5000
Pm1 0.7500 0.7500 0.7500
Pm2 0.2500 0.2500 0.2500

VASP calculation (PBE-GGA) on crystalline TlPd3Se at its relaxed geometry.

Computed properties:
V in A^3/atom: 25.6
ΔE_f (raw) in kJ/mol of formula units: 421
ΔE to the lowest computed polymorph in kcal/mol of atoms: 24.737
Space group: Pm-3m, No. 221

a = 5.0395 Å, b = 5.0395 Å, c = 5.0395 Å
α = 90.00°, β = 90.00°, γ = 90.00°
Sites, in units of the cell vectors:
Tl1 0.0000 0.0000 0.0000
Pd1 0.0000 0.0000 0.5000
Pd2 0.5000 0.0000 0.0000
Pd3 0.0000 0.5000 0.0000
Se1 0.5000 0.5000 0.5000

VASP calculation (PBE-GGA) on crystalline Ce4ZnGe3 at its relaxed geometry.

Computed properties:
V in A^3/atom: 24.8
Space group: Pmm2, No. 25
ΔH_f (0 K) in eV/atom: -0.57

a = 4.3620 Å, b = 4.0918 Å, c = 11.1200 Å
α = 90.00°, β = 90.00°, γ = 90.00°
Last column: magnetic moment on the atom in μB.
Sites, in units of the cell vectors:
Ge1 0.0000 0.5000 0.5806  0.00
Ge2 0.5000 0.0000 0.9248  -0.03
Ge3 0.0000 0.0000 0.4212  0.00
Ce1 0.0000 0.0000 0.1435  0.84
Ce2 0.5000 0.5000 0.3593  0.81
Ce3 0.0000 0.5000 0.8585  0.80
Ce4 0.5000 0.0000 0.6417  0.82
Zn1 0.5000 0.5000 0.0703  0.01

VASP calculation (PBE-GGA) on crystalline Si2BrCl at its relaxed geometry.

Computed properties:
V in A^3/atom: 21.3
ΔE_f (raw) in kJ/mol of formula units: 155
ΔE to the lowest computed polymorph in kcal/mol of atoms: 17.524
Space group: Cmmm, No. 65

a = 3.3402 Å, b = 3.3402 Å, c = 8.8639 Å
α = 90.00°, β = 90.00°, γ = 120.62°
Sites, in units of the cell vectors:
Cl1 0.5000 0.5000 0.7500
Si1 0.0000 0.0000 0.5062
Si2 0.0000 0.0000 0.9938
Br1 0.5000 0.5000 0.2500

VASP calculation (PBE-GGA) on crystalline Pm2Dy3YSb6 at its relaxed geometry.

Computed properties:
V in A^3/atom: 30.6
ΔE_f (raw) in kJ/mol of formula units: -1336
Space group: C2/m, No. 12

a = 4.4238 Å, b = 8.8434 Å, c = 9.8873 Å
α = 102.88°, β = 102.93°, γ = 90.00°
Sites, in units of the cell vectors:
Sb1 0.3348 0.4128 0.6696
Sb2 0.6652 0.5872 0.3304
Sb3 0.9979 0.2493 0.9957
Sb4 0.3336 0.9218 0.6672
Sb5 0.6664 0.0782 0.3328
Sb6 0.0021 0.7507 0.0043
Dy1 0.8325 0.1662 0.6651
Dy2 0.5000 0.5000 0.0000
Dy3 0.1675 0.8338 0.3349
Pm1 0.8340 0.6673 0.6679
Pm2 0.1660 0.3327 0.3321
Y1 0.5000 0.0000 0.0000

VASP calculation (PBE-GGA) on crystalline Li2Ag5Hg at its relaxed geometry.

Computed properties:
V in A^3/atom: 17.6
Space group: Pbam, No. 55
ΔH_f (0 K) in eV/atom: -0.14

a = 4.0234 Å, b = 5.9166 Å, c = 11.8599 Å
α = 90.00°, β = 90.00°, γ = 90.00°
Sites, in units of the cell vectors:
Hg1 0.0000 0.0000 0.5000
Hg2 0.0000 0.5000 0.0000
Ag1 0.5000 0.2616 0.3722
Ag2 0.0000 0.5000 0.5000
Ag3 0.0000 0.0106 0.2484
Ag4 0.0000 0.9894 0.7516
Ag5 0.0000 0.5106 0.2516
Ag6 0.5000 0.7384 0.6278
Ag7 0.0000 0.4894 0.7484
Ag8 0.5000 0.2384 0.8722
Ag9 0.5000 0.7616 0.1278
Ag10 0.0000 0.0000 0.0000
Li1 0.5000 0.7468 0.8726
Li2 0.5000 0.2468 0.6274
Li3 0.5000 0.2532 0.1274
Li4 0.5000 0.7532 0.3726

VASP calculation (PBE-GGA) on crystalline Cu3P at its relaxed geometry.

Computed properties:
V in A^3/atom: 12.6
Space group: P4/mmm, No. 123
ΔH_f (0 K) in eV/atom: 0.15

a = 2.5848 Å, b = 2.5848 Å, c = 7.5339 Å
α = 90.00°, β = 90.00°, γ = 90.00°
Sites, in units of the cell vectors:
Cu1 0.0000 0.0000 0.9940
Cu2 0.0000 0.0000 0.5060
Cu3 0.5000 0.5000 0.7500
P1 0.5000 0.5000 0.2500

VASP calculation (PBE-GGA) on crystalline KRbNpBr6 at its relaxed geometry.

Computed properties:
V in A^3/atom: 44.1
ΔE_f (raw) in kJ/mol of formula units: -1310
Space group: P-31c, No. 163

a = 8.1339 Å, b = 8.1339 Å, c = 13.8663 Å
α = 90.00°, β = 90.00°, γ = 120.00°
Last column: magnetic moment on the atom in μB.
Sites, in units of the cell vectors:
Br1 0.6094 0.6602 0.6341  -0.03
Br2 0.9492 0.3398 0.1341  -0.03
Br3 0.0508 0.6602 0.8659  -0.03
Br4 0.0508 0.3906 0.6341  -0.03
Br5 0.6094 0.9492 0.8659  -0.03
Br6 0.3398 0.3906 0.8659  -0.03
Br7 0.6602 0.6094 0.1341  -0.03
Br8 0.3906 0.3398 0.3659  -0.03
Br9 0.9492 0.6094 0.3659  -0.03
Br10 0.3906 0.0508 0.1341  -0.03
Br11 0.6602 0.0508 0.3659  -0.03
Br12 0.3398 0.9492 0.6341  -0.03
Np1 0.6667 0.3333 0.2500  3.20
Np2 0.3333 0.6667 0.7500  3.20
Rb1 0.0000 0.0000 0.0000  0.00
Rb2 0.0000 0.0000 0.5000  0.00
K1 0.6667 0.3333 0.7500  0.00
K2 0.3333 0.6667 0.2500  0.00

VASP calculation (PBE-GGA) on crystalline LiLaY3 at its relaxed geometry.

Computed properties:
V in A^3/atom: 32.6
ΔE to the lowest computed polymorph in kcal/mol of atoms: 0.000
Space group: Pm-3m, No. 221
ΔH_f (0 K) in eV/atom: 0.33

a = 5.4633 Å, b = 5.4633 Å, c = 5.4633 Å
α = 90.00°, β = 90.00°, γ = 90.00°
Sites, in units of the cell vectors:
Y1 0.0000 0.5000 0.0000
Y2 0.0000 0.0000 0.5000
Y3 0.5000 0.0000 0.0000
La1 0.5000 0.5000 0.5000
Li1 0.0000 0.0000 0.0000

VASP calculation (PBE-GGA) on crystalline PuHgBi2 at its relaxed geometry.

Computed properties:
V in A^3/atom: 44.8
ΔE to the lowest computed polymorph in kcal/mol of atoms: 9.512
Space group: R-3m, No. 166
ΔH_f (0 K) in eV/atom: 0.17

a = 4.8819 Å, b = 4.8819 Å, c = 9.1240 Å
α = 74.48°, β = 74.48°, γ = 60.00°
Last column: magnetic moment on the atom in μB.
Sites, in units of the cell vectors:
Bi1 0.8905 0.8905 0.3284  -0.13
Bi2 0.1095 0.1095 0.6716  -0.13
Pu1 0.5000 0.5000 0.5000  5.21
Hg1 0.0000 0.0000 0.0000  -0.02

VASP calculation (PBE-GGA) on crystalline ZrNb2Zn2 at its relaxed geometry.

Computed properties:
V in A^3/atom: 18.3
ΔE to the lowest computed polymorph in kcal/mol of atoms: 0.000
Space group: I4/mmm, No. 139
ΔH_f (0 K) in eV/atom: 0.00

a = 3.8433 Å, b = 3.8433 Å, c = 6.7774 Å
α = 73.53°, β = 73.53°, γ = 90.00°
Sites, in units of the cell vectors:
Nb1 0.7500 0.2500 0.5000
Nb2 0.2500 0.7500 0.5000
Zn1 0.4063 0.4063 0.1875
Zn2 0.5937 0.5937 0.8125
Zr1 0.0000 0.0000 0.0000